Entry 1:
The following is a DFT calculation (GGA-PBE) of PrPuHgPb after structural relaxation.

Values from the calculation:
Formation energy from the elements: -1.20 eV per formula unit

Unit cell a=3.5916 b=3.5916 c=8.8201 alpha=90.00 beta=90.00 gamma=90.00
Space group P4mm (No. 99)
Unique sites:
1 Pr 0.0000 0.0000 0.0000 x1
2 Pu 0.0000 0.0000 0.5167 x1
3 Hg 0.5000 0.5000 0.7545 x1
4 Pb 0.5000 0.5000 0.2622 x1


Entry 2:
The following is a DFT calculation (GGA-PBE) of Er9ScTl2 after structural relaxation.

Values from the calculation:
Formation energy from the elements: -1.26 eV per formula unit

Unit cell a=4.8100 b=4.8100 c=14.6865 alpha=90.00 beta=90.00 gamma=90.00
Space group P4/mmm (No. 123)
Unique sites:
1 Er 0.0000 0.0000 0.0000 x1
2 Er 0.0000 0.0000 0.3348 x2
3 Er 0.0000 0.5000 0.1669 x4
4 Er 0.0000 0.5000 0.5000 x2
5 Sc 0.5000 0.5000 0.0000 x1
6 Tl 0.5000 0.5000 0.3376 x2


Entry 3:
The following is a DFT calculation (GGA-PBE) of Re2NiMo2S8 after structural relaxation.

Values from the calculation:
Formation energy without anion corrections: -0.596 eV/atom

Unit cell a=6.7712 b=6.8904 c=9.6124 alpha=90.00 beta=90.00 gamma=90.00
Space group Imm2 (No. 44)
Unique sites:
1 Re 0.2081 0.0000 0.0000 x4
2 Ni 0.0000 0.0000 0.3969 x2
3 Mo 0.0000 0.2067 0.7924 x4
4 S 0.0000 0.2672 0.0325 x4
5 S 0.0000 0.2738 0.5256 x4
6 S 0.2282 0.5000 0.2606 x4
7 S 0.2351 0.5000 0.7595 x4


Entry 4:
The following is a DFT calculation (GGA-PBE) of CoAgHg2 after structural relaxation.

Values from the calculation:
Formation energy from the elements: 1.37 eV per formula unit
Distance to the lowest polymorph of the same formula: 17 meV/atom

Unit cell a=3.0349 b=3.0349 c=27.6010 alpha=90.00 beta=90.00 gamma=120.00
Space group R-3m (No. 166, hexagonal axes)
Unique sites:
1 Co 0.0000 0.0000 0.0000 x3
2 Ag 0.0000 0.0000 0.5000 x3
3 Hg 0.0000 0.0000 0.2564 x6


Entry 5:
The following is a DFT calculation (GGA-PBE) of AcEr2ThAs4 after structural relaxation.

Values from the calculation:
Formation energy from the elements: -11.66 eV per formula unit

Unit cell a=7.3024 b=4.2443 c=7.3727 alpha=90.00 beta=109.47 gamma=90.00
Space group P2/m (No. 10)
Unique sites:
1 Ac 0.0000 0.0000 0.0000 x1
2 Er 0.5000 0.0000 0.5000 x1
3 Er 0.5000 0.5000 0.0000 x1
4 Th 0.0000 0.5000 0.5000 x1
5 As 0.2641 0.0000 0.7466 x2
6 As 0.2695 0.5000 0.2656 x2


Entry 6:
The following is a DFT calculation (GGA-PBE) of CrPRu after structural relaxation.

Values from the calculation:
Formation energy from the elements: -1.21 eV per formula unit

Unit cell a=5.2138 b=4.9024 c=5.9154 alpha=90.00 beta=90.41 gamma=90.00
Space group C2/m (No. 12)
Unique sites:
1 Cr 0.0000 0.2290 0.0000 x4
2 P 0.2309 0.5000 0.7403 x4
3 Ru 0.2404 0.5000 0.3525 x4


Entry 7:
The following is a DFT calculation (GGA-PBE) of AcZnGaAu6 after structural relaxation.

Values from the calculation:
Formation energy from the elements: -2.76 eV per formula unit

Unit cell a=13.1863 b=7.6596 c=10.0664 alpha=90.00 beta=129.16 gamma=90.00
Space group C2/m (No. 12)
Unique sites:
1 Ac 0.1928 0.0000 0.4884 x4
2 Zn 0.2500 0.2500 0.0000 x4
3 Ga 0.0000 0.0000 0.0000 x2
4 Ga 0.0000 0.5000 0.5000 x2
5 Au 0.0414 0.2960 0.1850 x8
6 Au 0.0821 0.1951 0.6763 x8
7 Au 0.1753 0.5000 0.0999 x4
8 Au 0.2496 0.0000 0.2166 x4


Entry 8:
The following is a DFT calculation (GGA-PBE) of TbThInAg after structural relaxation.

Values from the calculation:
Formation energy from the elements: -0.91 eV per formula unit

Unit cell a=7.5651 b=7.5651 c=7.5651 alpha=90.00 beta=90.00 gamma=90.00
Space group F-43m (No. 216)
Unique sites:
1 Tb 0.0000 0.0000 0.0000 x4
2 Th 0.0000 0.0000 0.5000 x4
3 In 0.2500 0.2500 0.7500 x4
4 Ag 0.2500 0.2500 0.2500 x4


Entry 9:
The following is a DFT calculation (GGA-PBE) of Ac2TlP after structural relaxation.

Values from the calculation:
Formation energy from the elements: -3.30 eV per formula unit
Distance to the lowest polymorph of the same formula: 29 meV/atom

Unit cell a=4.2968 b=4.2968 c=26.2879 alpha=90.00 beta=90.00 gamma=120.00
Space group R3m (No. 160, hexagonal axes)
Unique sites:
1 Ac 0.0000 0.0000 0.0000 x3
2 Ac 0.0000 0.0000 0.1969 x3
3 Tl 0.0000 0.0000 0.7644 x3
4 P 0.0000 0.0000 0.5971 x3


Entry 10:
The following is a DFT calculation (GGA-PBE) of SmZr2Al9 after structural relaxation.

Values from the calculation:
Formation energy from the elements: -4.12 eV per formula unit

Unit cell a=5.4041 b=5.4041 c=26.2532 alpha=90.00 beta=90.00 gamma=120.00
Space group R-3m (No. 166, hexagonal axes)
Unique sites:
1 Sm 0.0000 0.0000 0.0000 x3
2 Zr 0.0000 0.0000 0.1440 x6
3 Al 0.0000 0.0000 0.3342 x6
4 Al 0.0000 0.0000 0.5000 x3
5 Al 0.0067 0.5034 0.9132 x18


Entry 11:
The following is a DFT calculation (GGA-PBE) of KPO3F after structural relaxation.

Values from the calculation:
Formation energy without anion corrections: -1.778 eV/atom

Unit cell a=7.5517 b=11.9386 c=4.7206 alpha=90.00 beta=108.89 gamma=90.00
Space group C2/c (No. 15)
Unique sites:
1 K 0.0000 0.1454 0.2500 x4
2 P 0.0000 0.4612 0.7500 x4
3 O 0.0000 0.3327 0.7500 x4
4 O 0.1435 0.4679 0.5197 x8
5 F 0.0000 0.0762 0.7500 x4


> Number 7 is which compound?

AcZnGaAu6